# 1
Material: Pr3Al3Ni8
Method: DFT, PBE
State: relaxed

Cell lengths 4.0717, 8.0187, 8.0187 Å; angles 71.14, 75.29, 75.29 degrees
Atoms (fractional coordinates):
1 Pr 0.5000 0.5000 0.5000
2 Pr 0.7892 0.2108 0.2108
3 Pr 0.2108 0.7892 0.7892
4 Al 0.5000 0.0000 0.0000
5 Al 0.0000 0.7781 0.2219
6 Al 0.0000 0.2219 0.7781
7 Ni 0.6078 0.1080 0.6764
8 Ni 0.3922 0.8920 0.3236
9 Ni 0.6078 0.6764 0.1080
10 Ni 0.3922 0.3236 0.8920
11 Ni 0.8059 0.8889 0.4993
12 Ni 0.1941 0.1111 0.5007
13 Ni 0.8059 0.4993 0.8889
14 Ni 0.1941 0.5007 0.1111

The value obtained for the total magnetic moment is 0.0 Bohr magnetons per cell. The value obtained for the formation energy is -0.40 eV/atom. The calculation puts the uncorrected energy at -0.203 hartree per atom. The crystal system is orthorhombic.

# 2
Material: Pr2AlNi5
Method: DFT, PBE
State: relaxed

Cell lengths 5.9264, 5.9264, 5.9264 Å; angles 87.33, 121.55, 121.55 degrees
Atoms (fractional coordinates):
1 Pr 0.5000 0.2380 0.7380
2 Pr 0.5000 0.7380 0.2380
3 Al 0.0000 0.0004 0.0004
4 Ni 0.4205 0.6998 0.6998
5 Ni 0.0000 0.6998 0.2794
6 Ni 0.0000 0.2794 0.6998
7 Ni 0.5795 0.2794 0.2794
8 Ni 0.0000 0.2873 0.2873

The value obtained for the total magnetic moment is 0.0 Bohr magnetons per cell. The value obtained for the formation energy is -0.24 eV/atom. The calculation puts the uncorrected energy at -0.203 hartree per atom. The crystal system is tetragonal.